(1)
# SrPmPtRh

A geometry-optimized SrPmPtRh structure (PBE, Alexandria).

```
SrPmPtRh
1.0
5.076 0.000 0.000
2.538 4.396 0.000
2.538 1.465 4.144
Pt Sr Rh Pm
1 1 1 1
Direct
0.750 0.750 0.750 Pt
0.500 0.500 0.500 Sr
0.250 0.250 0.250 Rh
0.000 0.000 0.000 Pm
```

Summary:
Its space-group type is F-43m, No. 216. Its formation energy is -627.6 meV per atom. The value obtained for the calculated total energy is -22.34 eV per cell. The value obtained for the magnetic moment is 0.0 Bohr magnetons per cell.

***

(2)
# CaHo3

A geometry-optimized CaHo3 structure (PBE, Alexandria).

```
CaHo3
1.0
-0.761 -2.981 1.919
6.153 -1.166 0.628
-2.604 5.179 3.587
Ho Ca
3 1
Direct
0.500 0.499 0.000 Ho
0.760 0.095 0.520 Ho
0.240 0.575 0.480 Ho
0.000 0.997 0.000 Ca
```

Summary:
Its space-group type is Imm2, No. 44. Its formation energy is 86.3 meV per atom. The value obtained for the calculated total energy is -15.39 eV per cell. The value obtained for the magnetic moment is 0.0 Bohr magnetons per cell.

***

(3)
# KTeAs2

A geometry-optimized KTeAs2 structure (PBE, Alexandria).

```
KTeAs2
1.0
5.968 0.007 0.083
4.744 3.622 0.083
2.703 0.916 6.011
K Te As
1 1 2
Direct
0.460 0.460 0.513 K
0.699 0.699 0.957 Te
0.003 0.003 0.915 As
0.338 0.338 0.115 As
```

Summary:
Its space-group type is Cm, No. 8. The value obtained for the calculated total energy is -14.33 eV per cell. The value obtained for the magnetic moment is 0.0 Bohr magnetons per cell.

***

(4)
# Tb4Pr3Sm4

A geometry-optimized Tb4Pr3Sm4 structure (PBE, Alexandria).

```
Tb4Pr3Sm4
1.0
-1.617 5.463 1.019
-1.341 -2.312 -6.171
-9.631 -3.484 3.398
Pr Sm Tb
3 4 4
Direct
0.408 0.816 0.293 Pr
0.408 0.816 0.707 Pr
0.255 0.509 0.000 Pr
0.959 0.918 0.000 Sm
0.887 0.774 0.500 Sm
0.752 0.504 0.213 Sm
0.752 0.504 0.787 Sm
0.555 0.111 0.000 Tb
0.104 0.208 0.300 Tb
0.615 0.230 0.500 Tb
0.104 0.208 0.700 Tb
```

Summary:
Its space-group type is Amm2, No. 38. Its formation energy is 151.7 meV per atom. The value obtained for the calculated total energy is -50.07 eV per cell. The value obtained for the magnetic moment is 0.0 Bohr magnetons per cell.

***

The lowest calculated total energy belongs to which entry? Tb4Pr3Sm4